Record 1
Rb3Sc2CrS6: optimized geometry, PBE-GGA.

Cell lengths 6.5899, 6.5899, 7.8735 Å; angles 98.03, 98.03, 120.02 degrees
With the nearest neighbours (Å) after each atom.
Sites, in units of the cell vectors:
1 Rb 0.0000 0.0000 0.0000  6 S 3.25-3.33
2 Rb 0.3302 0.6698 0.0000  6 S 3.25-3.32
3 Rb 0.6698 0.3302 0.0000  6 S 3.25-3.32
4 Sc 0.1664 0.8336 0.5000  6 S 2.62
5 Sc 0.8336 0.1664 0.5000  6 S 2.62
6 Cr 0.5000 0.5000 0.5000  6 S 2.50
7 S 0.1214 0.4405 0.3218  1 Cr 2.50, 2 Sc 2.62
8 S 0.2409 0.2409 0.6797  1 Cr 2.50, 2 Sc 2.62
9 S 0.4405 0.1214 0.3218  1 Cr 2.50, 2 Sc 2.62
10 S 0.5595 0.8786 0.6782  1 Cr 2.50, 2 Sc 2.62
11 S 0.7591 0.7591 0.3203  1 Cr 2.50, 2 Sc 2.62
12 S 0.8786 0.5595 0.6782  1 Cr 2.50, 2 Sc 2.62

Calculated values
crystal system = monoclinic
formation energy from raw total energies = -136.5 kJ/mol of atoms
ρ = 3.5 g/cm³

---

Record 2
K2HoInO4: optimized geometry, PBE-GGA.

Cell lengths 5.8920, 3.4134, 6.5631 Å; angles 90.00, 107.88, 90.00 degrees
With the nearest neighbours (Å) after each atom.
Sites, in units of the cell vectors:
1 K 0.0000 0.0000 0.0000  6 O 2.77-2.78
2 K 0.5000 0.5000 0.0000  6 O 2.76-2.77
3 Ho 0.0000 0.5000 0.5000  6 O 2.29-2.31
4 In 0.5000 0.0000 0.5000  6 O 2.27-2.30
5 O 0.2283 0.0000 0.6886  2 Ho 2.29, 1 In 2.30
6 O 0.2755 0.5000 0.3133  2 In 2.27, 1 Ho 2.31
7 O 0.7245 0.5000 0.6867  2 In 2.27, 1 Ho 2.31
8 O 0.7717 0.0000 0.3114  2 Ho 2.29, 1 In 2.30

Calculated values
crystal system = monoclinic
formation energy from raw total energies = -207.8 kJ/mol of atoms
ρ = 5.6 g/cm³

---

> Which formula does entry 1 have?

Rb3Sc2CrS6